Below is crystalline YInH2 at its relaxed geometry, with properties calculated at the PBE level.

The space group is Fm-3m (No. 225) and the conventional cell measures 6.106, 6.106 and 6.106 Å, with angles of 90.00, 90.00 and 90.00 degrees. The distinct sites, in fractional coordinates, are Y at (0.000, 0.000, 0.000), In at (0.000, 0.000, 0.500) and H at (0.250, 0.250, 0.250).

For the mass density, the calculation gives 6.0 g/cm³. The energy above the most stable polymorph in this dataset is 214 meV/atom. Its crystal system is cubic.